Crystalline Mn2ZnIr at its relaxed geometry. Source: Alexandria, functional PBE.

As for the energy of formation from the pure elements: 0.31 eV/f.u. The calculation puts the magnetization at 1.16 μB per atom.

The space group is R-3m (No. 166, hexagonal axes) and the conventional cell measures 2.6969, 2.6969 and 25.6534 Å, with angles of 90.00, 90.00 and 120.00 degrees. The inequivalent atoms are Mn at (0.0000, 0.0000, 0.2492), Zn at (0.0000, 0.0000, 0.0000) and Ir at (0.0000, 0.0000, 0.5000).

---

Crystalline Mn2ZnIr at its relaxed geometry. Source: Alexandria, functional PBE.

As for the energy of formation from the pure elements: 0.17 eV/f.u. The calculation puts the magnetization at 1.61 μB per atom.

The space group is P2/m (No. 10) and the conventional cell measures 4.3861, 2.9024 and 4.4217 Å, with angles of 90.00, 102.52 and 90.00 degrees. The inequivalent atoms are Mn at (0.0000, 0.0000, 0.0000), Mn at (0.0000, 0.5000, 0.5000), Zn at (0.5000, 0.0000, 0.5000) and Ir at (0.5000, 0.5000, 0.0000).

---

Crystalline ZrMn2Ir at its relaxed geometry. Source: Alexandria, functional PBE.

As for the energy of formation from the pure elements: -0.96 eV/f.u. The calculation puts the magnetization at 0.23 μB per atom.

The space group is F-43m (No. 216) and the conventional cell measures 6.3547, 6.3547 and 6.3547 Å, with angles of 90.00, 90.00 and 90.00 degrees. The inequivalent atoms are Zr at (0.0000, 0.0000, 0.0000), Mn at (0.0000, 0.0000, 0.5000), Mn at (0.2500, 0.2500, 0.7500) and Ir at (0.2500, 0.2500, 0.2500).

---

Crystalline ZrMnIr2 at its relaxed geometry. Source: Alexandria, functional PBE.

As for the energy of formation from the pure elements: -0.72 eV/f.u. The calculation puts the magnetization at 1.03 μB per atom.

The space group is F-43m (No. 216) and the conventional cell measures 6.3554, 6.3554 and 6.3554 Å, with angles of 90.00, 90.00 and 90.00 degrees. The inequivalent atoms are Zr at (0.0000, 0.0000, 0.0000), Mn at (0.2500, 0.2500, 0.7500), Ir at (0.0000, 0.0000, 0.5000) and Ir at (0.2500, 0.2500, 0.2500).